Entry 1:
Compound: CsBiAuI2
Source: the Alexandria database
Functional: PBE
Structure: relaxed

Values from the calculation:
volume	45.58	Å³ per atom
density	5.78	Mg/m³
crystal system	tetragonal
uncorrected formation energy	-0.5693	eV/atom

Lattice parameters (Å, degrees): 6.420 6.420 5.529 90.00 90.00 90.00
Space group P4/mmm (No. 123)
Unique sites:
Cs1 0.000 0.000 0.000
Bi1 0.500 0.500 0.500
Au1 0.500 0.500 0.000
I1 0.000 0.500 0.500



Entry 2:
Compound: TbDyZnSi
Source: the Alexandria database
Functional: PBE
Structure: relaxed

Values from the calculation:
volume	21.89	Å³ per atom
density	7.87	Mg/m³
crystal system	cubic
uncorrected formation energy	-0.4614	eV/atom

Lattice parameters (Å, degrees): 7.049 7.049 7.049 90.00 90.00 90.00
Space group F-43m (No. 216)
Unique sites:
Tb1 0.000 0.000 0.000
Dy1 0.000 0.000 0.500
Zn1 0.250 0.250 0.750
Si1 0.250 0.250 0.250



Entry 3:
Compound: AlAg2Te
Source: the Alexandria database
Functional: PBE
Structure: relaxed

Values from the calculation:
volume	22.95	Å³ per atom
density	6.70	Mg/m³
crystal system	monoclinic
uncorrected formation energy	0.0529	eV/atom

Lattice parameters (Å, degrees): 8.729 3.500 6.603 90.00 114.48 90.00
Space group Cm (No. 8)
Unique sites:
Al1 0.000 0.000 0.000
Ag1 0.046 0.500 0.371
Ag2 0.259 0.500 0.143
Te1 0.355 0.000 0.637



Entry 4:
Compound: Dy4ErRh5
Source: the Alexandria database
Functional: PBE
Structure: relaxed

Values from the calculation:
energy relative to the elements	-8.8	eV/f.u.
volume	19.99	Å³ per atom
density	11.06	Mg/m³
crystal system	tetragonal

Lattice parameters (Å, degrees): 3.390 3.390 17.391 90.00 90.00 90.00
Space group P4/mmm (No. 123)
Unique sites:
Dy1 0.000 0.000 0.100
Dy2 0.000 0.000 0.301
Er1 0.000 0.000 0.500
Rh1 0.500 0.500 0.000
Rh2 0.500 0.500 0.201
Rh3 0.500 0.500 0.402



Entry 5:
Compound: Cr3Au5
Source: the Alexandria database
Functional: PBE
Structure: relaxed

Values from the calculation:
energy relative to the elements	2.0	eV/f.u.
volume	17.99	Å³ per atom
density	13.16	Mg/m³
crystal system	hexagonal

Lattice parameters (Å, degrees): 7.9121 7.9121 5.3085 90.00 90.00 120.00
Space group P6_3/mcm (No. 193)
Unique sites:
Cr1 0.0000 0.3990 0.2500
Au1 0.0000 0.2325 0.7500
Au2 0.3333 0.6667 0.0000



Entry 6:
Compound: CeIn3Au3
Source: the Alexandria database
Functional: PBE
Structure: relaxed

Values from the calculation:
energy relative to the elements	-2.5	eV/f.u.
volume	23.61	Å³ per atom
density	10.81	Mg/m³
crystal system	hexagonal

Lattice parameters (Å, degrees): 8.7840 8.7840 4.9464 90.00 90.00 120.00
Space group P6_3/m (No. 176)
Unique sites:
Ce1 0.3333 0.6667 0.2500
In1 0.0222 0.2485 0.7500
Au1 0.0855 0.6069 0.7500



Entry 7:
Compound: Sm3HoHg2C
Source: the Alexandria database
Functional: PBE
Structure: relaxed

Values from the calculation:
energy relative to the elements	-2.3	eV/f.u.
volume	26.79	Å³ per atom
density	9.12	Mg/m³
crystal system	orthorhombic

Lattice parameters (Å, degrees): 4.893 5.075 15.101 90.00 90.00 90.00
Space group Immm (No. 71)
Unique sites:
Sm1 0.000 0.000 0.000
Sm2 0.000 0.500 0.167
Ho1 0.000 0.000 0.500
Hg1 0.000 0.500 0.370
C1 0.000 0.500 0.000



Entry 8:
Compound: Pt3Rh4W2
Source: the Alexandria database
Functional: PBE
Structure: relaxed

Values from the calculation:
energy relative to the elements	-1.6	eV/f.u.
volume	15.01	Å³ per atom
density	16.77	Mg/m³
crystal system	triclinic

Lattice parameters (Å, degrees): 4.850 7.084 8.592 72.53 74.28 89.49
Space group P-1 (No. 2)
Unique sites:
Pt1 0.061 0.469 0.220
Pt2 0.278 0.861 0.114
Pt3 0.392 0.807 0.556
Rh1 0.053 0.298 0.559
Rh2 0.166 0.249 0.999
Rh3 0.275 0.021 0.784
Rh4 0.496 0.420 0.668
W1 0.168 0.088 0.332
W2 0.378 0.636 0.890



Entry 9:
Compound: Y2Tm6Zr
Source: the Alexandria database
Functional: PBE
Structure: relaxed

Values from the calculation:
energy relative to the elements	0.6	eV/f.u.
volume	30.22	Å³ per atom
density	7.83	Mg/m³
crystal system	hexagonal

Lattice parameters (Å, degrees): 3.5139 3.5139 25.4382 90.00 90.00 120.00
Space group P-6m2 (No. 187)
Unique sites:
Y1 0.0000 0.0000 0.1759
Tm1 0.0000 0.0000 0.3994
Tm2 0.6667 0.3333 0.0654
Tm3 0.6667 0.3333 0.2877
Zr1 0.6667 0.3333 0.5000



Entry 10:
Compound: Sr2Cu3O5
Source: the Alexandria database
Functional: PBE
Structure: relaxed

Values from the calculation:
volume	13.60	Å³ per atom
density	5.44	Mg/m³
crystal system	orthorhombic
uncorrected formation energy	-1.4848	eV/atom

Lattice parameters (Å, degrees): 3.923 19.745 3.512 90.00 90.00 90.00
Space group Cmmm (No. 65)
Unique sites:
Sr1 0.000 0.101 0.000
Cu1 0.000 0.302 0.500
Cu2 0.000 0.500 0.500
O1 0.000 0.000 0.500
O2 0.000 0.204 0.500
O3 0.000 0.398 0.500



Entry 11:
Compound: FeCuC
Source: the Alexandria database
Functional: PBE
Structure: relaxed

Values from the calculation:
energy relative to the elements	1.5	eV/f.u.
volume	9.53	Å³ per atom
density	7.63	Mg/m³
crystal system	trigonal

Lattice parameters (Å, degrees): 2.6785 2.6785 13.8065 90.00 90.00 120.00
Space group R3m (No. 160, hexagonal axes)
Unique sites:
Fe1 0.0000 0.0000 0.0000
Cu1 0.0000 0.0000 0.8197
C1 0.0000 0.0000 0.5900



Entry 12:
Compound: CsIr2Au
Source: the Alexandria database
Functional: PBE
Structure: relaxed

Values from the calculation:
energy relative to the elements	6.4	eV/f.u.
volume	20.09	Å³ per atom
density	14.76	Mg/m³
crystal system	cubic

Lattice parameters (Å, degrees): 6.851 6.851 6.851 90.00 90.00 90.00
Space group Fm-3m (No. 225)
Unique sites:
Cs1 0.000 0.000 0.000
Ir1 0.250 0.250 0.250
Au1 0.000 0.000 0.500



Entry 13:
Compound: AlIrIO2
Source: the Alexandria database
Functional: PBE
Structure: relaxed

Values from the calculation:
volume	21.86	Å³ per atom
density	5.74	Mg/m³
crystal system	tetragonal
uncorrected formation energy	-0.4140	eV/atom

Lattice parameters (Å, degrees): 3.632 3.632 8.286 90.00 90.00 90.00
Space group P4/mmm (No. 123)
Unique sites:
Al1 0.000 0.000 0.000
Ir1 0.500 0.500 0.500
I1 0.000 0.000 0.500
O1 0.000 0.500 0.000



Entry 14:
Compound: Er8Tm3Th
Source: the Alexandria database
Functional: PBE
Structure: relaxed

Values from the calculation:
energy relative to the elements	0.3	eV/f.u.
volume	30.56	Å³ per atom
density	9.40	Mg/m³
crystal system	triclinic

Lattice parameters (Å, degrees): 6.091 7.010 9.277 79.11 77.25 73.30
Space group P-1 (No. 2)
Unique sites:
Er1 0.000 0.165 0.334
Er2 0.003 0.331 0.666
Er3 0.498 0.166 0.832
Er4 0.499 0.332 0.167
Tm1 0.000 0.000 0.000
Tm2 0.000 0.500 0.000
Tm3 0.500 0.500 0.500
Th1 0.500 0.000 0.500



Entry 15:
Compound: NaAcSnIr
Source: the Alexandria database
Functional: PBE
Structure: relaxed

Values from the calculation:
energy relative to the elements	-1.0	eV/f.u.
volume	23.65	Å³ per atom
density	9.84	Mg/m³
crystal system	cubic

Lattice parameters (Å, degrees): 7.233 7.233 7.233 90.00 90.00 90.00
Space group F-43m (No. 216)
Unique sites:
Na1 0.000 0.000 0.000
Ac1 0.250 0.250 0.250
Sn1 0.250 0.250 0.750
Ir1 0.000 0.000 0.500



Entry 16:
Compound: ReTeMo2
Source: the Alexandria database
Functional: PBE
Structure: relaxed

Values from the calculation:
volume	17.40	Å³ per atom
density	12.07	Mg/m³
crystal system	trigonal
uncorrected formation energy	0.5428	eV/atom

Lattice parameters (Å, degrees): 3.0616 3.0616 25.7183 90.00 90.00 120.00
Space group R3m (No. 160, hexagonal axes)
Unique sites:
Re1 0.0000 0.0000 0.0000
Te1 0.0000 0.0000 0.2442
Mo1 0.0000 0.0000 0.4918
Mo2 0.0000 0.0000 0.7447



Entry 17:
Compound: HfNbP2
Source: the Alexandria database
Functional: PBE
Structure: relaxed

Values from the calculation:
energy relative to the elements	-3.7	eV/f.u.
volume	17.18	Å³ per atom
density	8.05	Mg/m³
crystal system	trigonal

Lattice parameters (Å, degrees): 3.6507 3.6507 17.8619 90.00 90.00 120.00
Space group R-3m (No. 166, hexagonal axes)
Unique sites:
Hf1 0.0000 0.0000 0.0000
Nb1 0.0000 0.0000 0.5000
P1 0.0000 0.0000 0.2487



Entry 18:
Compound: AlV3Pd
Source: the Alexandria database
Functional: PBE
Structure: relaxed

Values from the calculation:
energy relative to the elements	5.9	eV/f.u.
volume	19.51	Å³ per atom
density	4.87	Mg/m³
crystal system	cubic

Lattice parameters (Å, degrees): 4.603 4.603 4.603 90.00 90.00 90.00
Space group Pm-3m (No. 221)
Unique sites:
Al1 0.000 0.000 0.000
V1 0.000 0.500 0.500
Pd1 0.500 0.500 0.500



Entry 19:
Compound: Zr3Zn7Cd
Source: the Alexandria database
Functional: PBE
Structure: relaxed

Values from the calculation:
energy relative to the elements	-0.6	eV/f.u.
volume	18.31	Å³ per atom
density	6.96	Mg/m³
crystal system	orthorhombic

Lattice parameters (Å, degrees): 3.128 19.517 13.193 90.00 90.00 90.00
Space group Cmcm (No. 63)
Unique sites:
Zr1 0.000 0.118 0.046
Zr2 0.000 0.254 0.750
Zn1 0.000 0.261 0.071
Zn2 0.000 0.370 0.154
Zn3 0.000 0.401 0.750
Zn4 0.000 0.493 0.088
Cd1 0.000 0.027 0.750



Entry 20:
Compound: Cs2CdHgBi
Source: the Alexandria database
Functional: PBE
Structure: relaxed

Values from the calculation:
energy relative to the elements	-0.5	eV/f.u.
volume	60.27	Å³ per atom
density	4.34	Mg/m³
crystal system	tetragonal

Lattice parameters (Å, degrees): 7.247 7.247 5.738 90.00 90.00 90.00
Space group P4/mmm (No. 123)
Unique sites:
Cs1 0.000 0.500 0.000
Cd1 0.000 0.000 0.500
Hg1 0.500 0.500 0.000
Bi1 0.500 0.500 0.500